Entry 1:
Material: K2CoPb
Method: DFT, PBE
State: optimized geometry

```
K2CoPb
1.0
0.000 3.878 3.878
3.878 0.000 3.878
3.878 3.878 0.000
K Co Pb
2 1 1
direct
0.000 0.000 0.000
0.250 0.250 0.250
0.500 0.500 0.500
0.750 0.750 0.750
```

Summary:
* total magnetization: 2.23 μB/cell
* SG: F-43m
* energy of formation: 233 kJ/mol of formula units
* VASP energy: -2.65 eV/atom
* N(E_F): 4.99 states/eV/f.u.

***

Entry 2:
Material: KCoPb
Method: DFT, PBE
State: optimized geometry

```
KCoPb
1.0
0.000 3.444 3.444
3.444 0.000 3.444
3.444 3.444 0.000
K Co Pb
1 1 1
direct
0.000 0.000 0.000
0.750 0.750 0.750
0.500 0.500 0.500
```

Summary:
* total magnetization: 1.03 μB/cell
* SG: F-43m
* energy of formation: 221 kJ/mol of formula units
* polymorph energy (0 for the lowest one): 325 meV/atom
* VASP energy: -3.21 eV/atom
* N(E_F): 4.46 states/eV/f.u.

***

Entry 3:
Material: KCoPb2
Method: DFT, PBE
State: optimized geometry

```
KCoPb2
1.0
0.000 3.684 3.684
3.684 0.000 3.684
3.684 3.684 0.000
K Co Pb
1 1 2
direct
0.000 0.000 0.000
0.500 0.500 0.500
0.250 0.250 0.250
0.750 0.750 0.750
```

Summary:
* total magnetization: 1.69 μB/cell
* SG: Fm-3m
* energy of formation: 206 kJ/mol of formula units
* VASP energy: -3.37 eV/atom
* N(E_F): 7.61 states/eV/f.u.

***

Entry 4:
Material: KCoPb2
Method: DFT, PBE
State: optimized geometry

```
KCoPb2
1.0
-1.670 3.097 5.422
1.670 -3.097 5.422
1.670 3.097 -5.422
K Co Pb
1 1 2
direct
0.000 0.000 0.000
0.500 0.500 0.000
0.305 0.805 0.500
0.695 0.195 0.500
```

Summary:
* total magnetization: 1.17 μB/cell
* SG: Immm
* energy of formation: 116 kJ/mol of formula units
* VASP energy: -3.61 eV/atom
* N(E_F): 2.45 states/eV/f.u.

***

Entry 5:
Material: KCoPb2
Method: DFT, PBE
State: optimized geometry

```
KCoPb2
1.0
3.812 -2.197 0.000
3.812 2.197 0.000
-2.524 0.000 7.131
K Co Pb
1 1 2
direct
0.000 0.000 0.000
0.500 0.500 0.500
0.214 0.214 0.642
0.786 0.786 0.358
```

Summary:
* total magnetization: 1.18 μB/cell
* SG: C2/m
* energy of formation: 64 kJ/mol of formula units
* VASP energy: -3.74 eV/atom
* N(E_F): 2.59 states/eV/f.u.

***

Entry 6:
Material: KCoPb2
Method: DFT, PBE
State: optimized geometry

```
KCoPb2
1.0
3.398 0.000 0.000
0.000 3.398 0.000
0.000 0.000 8.832
K Co Pb
1 1 2
direct
0.000 0.000 0.000
0.000 0.000 0.500
0.500 0.500 0.317
0.500 0.500 0.683
```

Summary:
* total magnetization: 1.04 μB/cell
* SG: P4/mmm
* energy of formation: 60 kJ/mol of formula units
* VASP energy: -3.75 eV/atom
* N(E_F): 2.00 states/eV/f.u.

***

Entry 7:
Material: KCo4Pb
Method: DFT, PBE
State: optimized geometry

```
KCo4Pb
1.0
0.000 3.629 3.629
3.629 0.000 3.629
3.629 3.629 0.000
K Co Pb
1 4 1
direct
0.000 0.000 0.000
0.376 0.376 0.376
0.376 0.376 0.872
0.376 0.872 0.376
0.872 0.376 0.376
0.750 0.750 0.750
```

Summary:
* total magnetization: 5.68 μB/cell
* SG: F-43m
* energy of formation: 374 kJ/mol of formula units
* VASP energy: -4.89 eV/atom
* N(E_F): 8.68 states/eV/f.u.

***

Entry 8:
Material: KCoPb
Method: DFT, PBE
State: optimized geometry

```
KCoPb
1.0
0.000 3.698 3.698
3.698 0.000 3.698
3.698 3.698 0.000
K Co Pb
1 1 1
direct
0.000 0.000 0.000
0.250 0.250 0.250
0.750 0.750 0.750
```

Summary:
* total magnetization: 1.20 μB/cell
* SG: F-43m
* energy of formation: 406 kJ/mol of formula units
* polymorph energy (0 for the lowest one): 965 meV/atom
* VASP energy: -2.57 eV/atom
* N(E_F): 10.91 states/eV/f.u.